a:
A geometry-optimized CeGdPd structure. Source: Alexandria via LeMat-Bulk, functional PBE.

Summary:
M_tot: 17.53 μB/cell

abc: 3.5926 3.5926 12.0430
angles: 90.00 90.00 90.00
Space group I4mm (No. 107)
Asymmetric unit:
Ce  0.0000  0.0000  0.0000
Gd  0.0000  0.0000  0.7150
Pd  0.0000  0.0000  0.3580


b:
A geometry-optimized CeGdPd structure. Source: Alexandria via LeMat-Bulk, functional PBE.

Summary:
M_tot: 6.42 μB/cell

abc: 4.7800 4.7800 3.7077
angles: 90.00 90.00 120.00
Space group P3m1 (No. 156)
Asymmetric unit:
Ce  0.0000  0.0000  0.0000
Gd  0.6667  0.3333  0.3906
Pd  0.3333  0.6667  0.6935


It comes down to a, which is 13.3 kJ/mol of atoms more stable than the next structure.


a:
A geometry-optimized CePmGd structure. Source: Alexandria via LeMat-Bulk, functional PBE.

Summary:
M_tot: 14.07 μB/cell

abc: 3.5562 3.5562 15.0577
angles: 90.00 90.00 90.00
Space group I4mm (No. 107)
Asymmetric unit:
Ce  0.0000  0.0000  0.0000
Pm  0.0000  0.0000  0.3385
Gd  0.0000  0.0000  0.6573


b:
A geometry-optimized CePmGd structure. Source: Alexandria via LeMat-Bulk, functional PBE.

Summary:
M_tot: 6.40 μB/cell

abc: 5.6429 5.6429 3.4847
angles: 90.00 90.00 120.00
Space group P-6m2 (No. 187)
Asymmetric unit:
Ce  0.0000  0.0000  0.0000
Pm  0.6667  0.3333  0.0000
Gd  0.3333  0.6667  0.5000


It comes down to a, which is 5.6 kJ/mol of atoms more stable than the next structure.


a:
A geometry-optimized CePrGd2 structure. Source: Alexandria via LeMat-Bulk, functional PBE.

Summary:
M_tot: 13.74 μB/cell

abc: 3.5690 3.5690 10.1519
angles: 90.00 90.00 90.00
Space group P4/mmm (No. 123)
Asymmetric unit:
Ce  0.0000  0.0000  0.0000
Pr  0.0000  0.0000  0.5000
Gd  0.5000  0.5000  0.2359


b:
A geometry-optimized CePrGd2 structure. Source: Alexandria via LeMat-Bulk, functional PBE.

Summary:
M_tot: 43.16 μB/cell

abc: 3.4971 3.4971 37.1753
angles: 90.00 90.00 120.00
Space group R-3m (No. 166, hexagonal axes)
Asymmetric unit:
Ce  0.0000  0.0000  0.0000
Pr  0.0000  0.0000  0.5000
Gd  0.0000  0.0000  0.4080


It comes down to a, which is 9.8 kJ/mol of atoms more stable than the next structure.


a:
A geometry-optimized CeGd2Pt structure. Source: Alexandria via LeMat-Bulk, functional PBE.

Summary:
M_tot: 13.61 μB/cell

abc: 3.5616 3.5616 8.4132
angles: 90.00 90.00 90.00
Space group P4/mmm (No. 123)
Asymmetric unit:
Ce  0.0000  0.0000  0.0000
Gd  0.5000  0.5000  0.3005
Pt  0.0000  0.0000  0.5000


b:
A geometry-optimized CeGd2Pt structure. Source: Alexandria via LeMat-Bulk, functional PBE.

Summary:
M_tot: 60.31 μB/cell

abc: 7.2353 7.2353 7.2353
angles: 90.00 90.00 90.00
Space group Fm-3m (No. 225)
Asymmetric unit:
Ce  0.0000  0.0000  0.0000
Gd  0.2500  0.2500  0.2500
Pt  0.0000  0.0000  0.5000


It comes down to a, which is 18.7 kJ/mol of atoms more stable than the next structure.


a:
A geometry-optimized CeGd2Pu structure. Source: Alexandria via LeMat-Bulk, functional PBE.

Summary:
M_tot: 22.93 μB/cell

abc: 4.1656 4.1656 7.2247
angles: 90.00 90.00 90.00
Space group P4/mmm (No. 123)
Asymmetric unit:
Ce  0.0000  0.0000  0.0000
Gd  0.5000  0.5000  0.2596
Pu  0.0000  0.0000  0.5000


b:
A geometry-optimized CeGd2Pu structure. Source: Alexandria via LeMat-Bulk, functional PBE.

Summary:
M_tot: 91.70 μB/cell

abc: 7.9290 7.9290 7.9290
angles: 90.00 90.00 90.00
Space group Fm-3m (No. 225)
Asymmetric unit:
Ce  0.0000  0.0000  0.0000
Gd  0.2500  0.2500  0.2500
Pu  0.0000  0.0000  0.5000


It comes down to a, which is 2.8 kJ/mol of atoms more stable than the next structure.


a:
A geometry-optimized Ce2GdRu structure. Source: Alexandria via LeMat-Bulk, functional PBE.

Summary:
M_tot: 26.58 μB/cell

abc: 4.7553 4.7553 14.9255
angles: 90.00 90.00 120.00
Space group R-3m (No. 166, hexagonal axes)
Asymmetric unit:
Ce  0.0000  0.0000  0.2371
Gd  0.0000  0.0000  0.0000
Ru  0.0000  0.0000  0.5000


b:
A geometry-optimized Ce2GdRu structure. Source: Alexandria via LeMat-Bulk, functional PBE.

Summary:
M_tot: 9.40 μB/cell

abc: 3.5749 3.5749 8.1454
angles: 90.00 90.00 90.00
Space group P4/mmm (No. 123)
Asymmetric unit:
Ce  0.0000  0.0000  0.1901
Gd  0.5000  0.5000  0.5000
Ru  0.5000  0.5000  0.0000


It comes down to b, which is 13.1 kJ/mol of atoms more stable than the next structure.


a:
A geometry-optimized Ce2GdSb structure. Source: Alexandria via LeMat-Bulk, functional PBE.

Summary:
M_tot: 39.72 μB/cell

abc: 7.6990 7.6990 7.6990
angles: 90.00 90.00 90.00
Space group Fm-3m (No. 225)
Asymmetric unit:
Ce  0.2500  0.2500  0.2500
Gd  0.0000  0.0000  0.0000
Sb  0.0000  0.0000  0.5000


b:
A geometry-optimized Ce2GdSb structure. Source: Alexandria via LeMat-Bulk, functional PBE.

Summary:
M_tot: 5.58 μB/cell

abc: 4.6287 4.6287 5.0461
angles: 90.00 90.00 90.00
Space group P4/mmm (No. 123)
Asymmetric unit:
Ce  0.0000  0.5000  0.0000
Gd  0.0000  0.0000  0.5000
Sb  0.5000  0.5000  0.5000


It comes down to b, which is 23.5 kJ/mol of atoms more stable than the next structure.


a:
A geometry-optimized CeGdSb2 structure. Source: Alexandria via LeMat-Bulk, functional PBE.

Summary:
M_tot: 23.54 μB/cell

abc: 4.4579 4.4579 21.8938
angles: 90.00 90.00 120.00
Space group R-3m (No. 166, hexagonal axes)
Asymmetric unit:
Ce  0.0000  0.0000  0.0000
Gd  0.0000  0.0000  0.5000
Sb  0.0000  0.0000  0.2485


b:
A geometry-optimized CeGdSb2 structure. Source: Alexandria via LeMat-Bulk, functional PBE.

Summary:
M_tot: 8.50 μB/cell

abc: 5.6344 5.6344 3.5031
angles: 90.00 90.00 90.00
Space group P4/mmm (No. 123)
Asymmetric unit:
Ce  0.0000  0.0000  0.0000
Gd  0.5000  0.5000  0.0000
Sb  0.0000  0.5000  0.5000


It comes down to a, which is 20.5 kJ/mol of atoms more stable than the next structure.